Entry 1
DFT (PBE) results for a relaxed structure of YAsOF2.

Cell and atoms, written as extended XYZ:
```
5
Lattice="4.5726 0.0000 0.0000 0.0000 4.5726 0.0000 0.0000 0.0000 3.9028" Properties=species:S:1:pos:R:3 pbc="T T T"
Y 0.0000 0.0000 0.0000
As 2.2863 2.2863 1.9514
O 2.2863 2.2863 0.0000
F 0.0000 2.2863 1.9514
F 2.2863 0.0000 1.9514
```

Properties
The calculation puts the density of states at the Fermi level at 2.134 states/eV/f.u.

Entry 2
DFT (PBE) results for a relaxed structure of YAsOF2.

Cell and atoms, written as extended XYZ:
```
5
Lattice="4.3652 0.0000 0.0000 0.0000 4.3652 0.0000 0.0000 0.0000 4.5748" Properties=species:S:1:pos:R:3 pbc="T T T"
Y 0.0000 0.0000 0.0000
As 2.1826 2.1826 2.2874
O 0.0000 0.0000 2.2874
F 0.0000 2.1826 0.0000
F 2.1826 0.0000 0.0000
```

Properties
The calculation puts the density of states at the Fermi level at 1.345 states/eV/f.u.

Which of them is most stable, and which least? Most stable: entry 2; least stable: entry 1.

Entry 1
DFT (PBE) results for a relaxed structure of AsOsF3.

Cell and atoms, written as extended XYZ:
```
5
Lattice="4.3365 0.0000 0.0000 0.0000 4.3365 0.0000 0.0000 0.0000 4.3365" Properties=species:S:1:pos:R:3 pbc="T T T"
As 0.0000 0.0000 0.0000
Os 2.1683 2.1683 2.1683
F 0.0000 0.0000 2.1683
F 0.0000 2.1683 0.0000
F 2.1683 0.0000 0.0000
```

Properties
The calculation puts the density of states at the Fermi level at 2.718 states/eV/f.u.

Entry 2
DFT (PBE) results for a relaxed structure of AsOsF3.

Cell and atoms, written as extended XYZ:
```
5
Lattice="4.1833 0.0000 0.0000 0.0000 4.1833 0.0000 0.0000 0.0000 4.1833" Properties=species:S:1:pos:R:3 pbc="T T T"
As 0.0000 0.0000 0.0000
Os 2.0916 2.0916 2.0916
F 0.0000 2.0916 2.0916
F 2.0916 0.0000 2.0916
F 2.0916 2.0916 0.0000
```

Properties
The calculation puts the density of states at the Fermi level at 5.156 states/eV/f.u.

Which of them is most stable, and which least? Most stable: entry 2; least stable: entry 1.

Entry 1
DFT (PBE) results for a relaxed structure of AsOsSe2F.

Cell and atoms, written as extended XYZ:
```
5
Lattice="4.6068 0.0000 0.0000 0.0000 4.6068 0.0000 0.0000 0.0000 4.1367" Properties=species:S:1:pos:R:3 pbc="T T T"
As 0.0000 0.0000 0.0000
Os 2.3034 2.3034 0.0000
Se 0.0000 2.3034 2.0684
Se 2.3034 0.0000 2.0684
F 0.0000 0.0000 2.0684
```

Properties
The calculation puts the density of states at the Fermi level at 2.685 states/eV/f.u.

Entry 2
DFT (PBE) results for a relaxed structure of AsOsSe2F.

Cell and atoms, written as extended XYZ:
```
5
Lattice="4.8770 0.0000 0.0000 0.0000 4.8770 0.0000 0.0000 0.0000 4.7879" Properties=species:S:1:pos:R:3 pbc="T T T"
As 0.0000 0.0000 0.0000
Os 0.0000 0.0000 2.3939
Se 0.0000 2.4385 2.3939
Se 2.4385 0.0000 2.3939
F 2.4385 2.4385 0.0000
```

Properties
The calculation puts the density of states at the Fermi level at 6.502 states/eV/f.u.

Which of them is most stable, and which least? Most stable: entry 2; least stable: entry 1.

Entry 1
DFT (PBE) results for a relaxed structure of AsPF3.

Cell and atoms, written as extended XYZ:
```
5
Lattice="4.2341 0.0000 0.0000 0.0000 4.2341 0.0000 0.0000 0.0000 4.2341" Properties=species:S:1:pos:R:3 pbc="T T T"
As 0.0000 0.0000 0.0000
P 2.1171 2.1171 2.1171
F 0.0000 2.1171 2.1171
F 2.1171 0.0000 2.1171
F 2.1171 2.1171 0.0000
```

Properties
The calculation puts the density of states at the Fermi level at 3.504 states/eV/f.u.

Entry 2
DFT (PBE) results for a relaxed structure of AsPF3.

Cell and atoms, written as extended XYZ:
```
5
Lattice="4.2878 0.0000 0.0000 0.0000 4.2878 0.0000 0.0000 0.0000 4.2878" Properties=species:S:1:pos:R:3 pbc="T T T"
As 0.0000 0.0000 0.0000
P 2.1439 2.1439 2.1439
F 0.0000 0.0000 2.1439
F 0.0000 2.1439 0.0000
F 2.1439 0.0000 0.0000
```

Properties
The calculation puts the density of states at the Fermi level at 1.769 states/eV/f.u.

Which of them is most stable, and which least? Most stable: entry 2; least stable: entry 1.